Entry 1:
A crystal of Ta17Os12 relaxed with PBEsol. Source: Alexandria via LeMat-Bulk, functional meta-GGA SCAN.

a = 8.487 Å, b = 8.487 Å, c = 8.487 Å
α = 109.47°, β = 109.47°, γ = 109.47°
Atoms (fractional coordinates):
1 Ta 0.000 0.000 0.000
2 Ta 0.000 0.000 0.346
3 Ta 0.000 0.317 0.604
4 Ta 0.000 0.346 0.000
5 Ta 0.000 0.604 0.317
6 Ta 0.287 0.683 0.683
7 Ta 0.317 0.000 0.604
8 Ta 0.317 0.604 0.000
9 Ta 0.346 0.000 0.000
10 Ta 0.396 0.396 0.713
11 Ta 0.396 0.713 0.396
12 Ta 0.604 0.000 0.317
13 Ta 0.604 0.317 0.000
14 Ta 0.654 0.654 0.654
15 Ta 0.683 0.287 0.683
16 Ta 0.683 0.683 0.287
17 Ta 0.713 0.396 0.396
18 Os 0.000 0.627 0.809
19 Os 0.000 0.809 0.627
20 Os 0.183 0.373 0.373
21 Os 0.191 0.191 0.817
22 Os 0.191 0.817 0.191
23 Os 0.373 0.183 0.373
24 Os 0.373 0.373 0.183
25 Os 0.627 0.000 0.809
26 Os 0.627 0.809 0.000
27 Os 0.809 0.000 0.627
28 Os 0.809 0.627 0.000
29 Os 0.817 0.191 0.191

DFT total energy: -69.164 eV/atom


Entry 2:
A crystal of BaCaBr2 relaxed with PBEsol. Source: Alexandria via LeMat-Bulk, functional meta-GGA SCAN.

a = 5.590 Å, b = 5.590 Å, c = 5.590 Å
α = 122.58°, β = 122.58°, γ = 85.58°
Atoms (fractional coordinates):
1 Ba 0.000 0.000 0.000
2 Ca 0.500 0.500 0.000
3 Br 0.250 0.750 0.500
4 Br 0.750 0.250 0.500

ΔE_f (raw): -5.36 eV/f.u.


Entry 3:
A crystal of LiVP3O9 relaxed with PBEsol. Source: Alexandria via LeMat-Bulk, functional meta-GGA SCAN.

a = 9.321 Å, b = 9.337 Å, c = 9.628 Å
α = 110.04°, β = 103.98°, γ = 108.61°
Atoms (fractional coordinates):
1 Li 0.131 0.350 0.166
2 Li 0.152 0.567 0.998
3 Li 0.848 0.433 0.002
4 Li 0.869 0.650 0.834
5 V 0.247 0.729 0.777
6 V 0.404 0.205 0.284
7 V 0.596 0.795 0.716
8 V 0.753 0.271 0.223
9 P 0.013 0.652 0.395
10 P 0.072 0.840 0.206
11 P 0.193 0.070 0.911
12 P 0.314 0.411 0.580
13 P 0.438 0.712 0.339
14 P 0.496 0.890 0.147
15 P 0.504 0.110 0.853
16 P 0.562 0.288 0.661
17 P 0.686 0.589 0.420
18 P 0.807 0.930 0.089
19 P 0.928 0.160 0.794
20 P 0.987 0.348 0.605
21 O 0.003 0.675 0.055
22 O 0.055 0.515 0.755
23 O 0.070 0.097 0.787
24 O 0.100 0.806 0.361
25 O 0.127 0.678 0.547
26 O 0.135 0.884 0.862
27 O 0.138 0.310 0.577
28 O 0.226 0.982 0.242
29 O 0.227 0.189 0.081
30 O 0.279 0.577 0.204
31 O 0.308 0.358 0.412
32 O 0.342 0.750 0.007
33 O 0.351 0.142 0.874
34 O 0.379 0.598 0.690
35 O 0.417 0.344 0.677
36 O 0.450 0.772 0.507
37 O 0.469 0.929 0.822
38 O 0.500 0.125 0.693
39 O 0.500 0.875 0.307
40 O 0.531 0.071 0.178
41 O 0.550 0.228 0.493
42 O 0.583 0.656 0.323
43 O 0.621 0.402 0.310
44 O 0.649 0.858 0.126
45 O 0.658 0.250 0.993
46 O 0.692 0.642 0.588
47 O 0.721 0.423 0.796
48 O 0.773 0.811 0.919
49 O 0.774 0.018 0.758
50 O 0.862 0.690 0.423
51 O 0.865 0.116 0.138
52 O 0.873 0.322 0.453
53 O 0.900 0.194 0.639
54 O 0.930 0.903 0.213
55 O 0.945 0.485 0.245
56 O 0.997 0.325 0.945

ΔE_f (raw): -34.56 eV/f.u.


Entry 4:
A crystal of CoRh2 relaxed with PBEsol. Source: Alexandria via LeMat-Bulk, functional meta-GGA SCAN.

a = 7.028 Å, b = 7.028 Å, c = 2.634 Å
α = 90.00°, β = 90.00°, γ = 120.00°
Atoms (fractional coordinates):
1 Co 0.000 0.000 0.000
2 Co 0.333 0.667 0.500
3 Co 0.667 0.333 0.500
4 Rh 0.000 0.298 0.500
5 Rh 0.000 0.635 0.000
6 Rh 0.298 0.000 0.500
7 Rh 0.365 0.365 0.000
8 Rh 0.635 0.000 0.000
9 Rh 0.702 0.702 0.500

DFT total energy: -28.219 eV/atom


The evaluated Fermi-level density of states for the records listed, in turn: 18.30; 2.15; 0.00; 4.04 states/eV/f.u..